Computed, not measured: a relaxed structure of LaSc2Ta at the PBEsol level of DFT.

Computed properties:
E_form: 0.368 eV/atom
DFT total energy: -7.4085 eV per atom

Geometry as CIF:
```
data_LaSc2Ta
_chemical_formula_sum 'La4 Sc8 Ta4'
_cell_length_a 7.1512
_cell_length_b 7.1512
_cell_length_c 7.1512
_cell_angle_alpha 90.00
_cell_angle_beta 90.00
_cell_angle_gamma 90.00
_symmetry_space_group_name_H-M 'F -4 3 m'
_symmetry_Int_Tables_number 216
_symmetry_space_group_name_Hall 'F -4 2 3'
loop_
_atom_site_label
_atom_site_fract_x
_atom_site_fract_y
_atom_site_fract_z
La1 0.0000 0.0000 0.0000
Sc1 0.0000 0.0000 0.5000
Sc2 0.2500 0.2500 0.2500
Ta1 0.2500 0.2500 0.7500
```

---

Computed, not measured: a relaxed structure of TmGa6 at the PBEsol level of DFT.

Computed properties:
E_form: -0.334 eV/atom
DFT total energy: -3.8961 eV per atom

Geometry as CIF:
```
data_TmGa6
_chemical_formula_sum 'Tm2 Ga12'
_cell_length_a 5.8280
_cell_length_b 5.8280
_cell_length_c 7.4563
_cell_angle_alpha 90.00
_cell_angle_beta 90.00
_cell_angle_gamma 90.00
_symmetry_space_group_name_H-M 'P 4/n b m'
_symmetry_Int_Tables_number 125
loop_
_symmetry_equiv_pos_as_xyz
'x,y,z'
'-x,-y,-z'
'-y+1/2,x,z'
'y+1/2,-x,-z'
'-x+1/2,-y+1/2,z'
'x+1/2,y+1/2,-z'
'y,-x+1/2,z'
'-y,x+1/2,-z'
'x,-y+1/2,-z'
'-x,y+1/2,z'
'-y+1/2,-x+1/2,-z'
'y+1/2,x+1/2,z'
'-x+1/2,y,-z'
'x+1/2,-y,z'
'y,x,-z'
'-y,-x,z'
loop_
_atom_site_label
_atom_site_fract_x
_atom_site_fract_y
_atom_site_fract_z
Tm1 0.2500 0.7500 0.0000
Ga1 0.0740 0.5740 0.3523
Ga2 0.2500 0.2500 0.1609
```